(1)
This record from Alexandria via LeMat-Bulk describes Pm4Ho4Mg after structural relaxation. The functional is PBE-GGA.

Computed properties:
Uncorrected energy ... -0.1582 Ha/atom
Crystal system ... tetragonal

Unit cell a=5.034 b=7.932 c=7.932 alpha=84.22 beta=71.50 gamma=71.50
Element x y z (fractional)
Pm1 0.666 0.000 0.668
Pm2 0.334 0.332 0.000
Pm3 0.334 0.000 0.332
Pm4 0.666 0.668 0.000
Mg1 0.000 0.000 0.000
Ho1 0.000 0.665 0.335
Ho2 0.335 0.665 0.665
Ho3 0.665 0.335 0.335
Ho4 0.000 0.335 0.665


(2)
This record from Alexandria via LeMat-Bulk describes Pm4Ho5Mg after structural relaxation. The functional is PBE-GGA.

Computed properties:
Distance to the lowest polymorph of the same formula ... 0 meV/atom
Uncorrected energy ... -0.1598 Ha/atom
Crystal system ... tetragonal

Unit cell a=3.603 b=3.603 c=24.330 alpha=90.00 beta=90.00 gamma=90.00
Element x y z (fractional)
Mg1 0.000 0.000 0.000
Ho1 0.500 0.500 0.913
Ho2 0.500 0.500 0.707
Ho3 0.500 0.500 0.293
Ho4 0.500 0.500 0.500
Ho5 0.500 0.500 0.087
Pm1 0.000 0.000 0.811
Pm2 0.000 0.000 0.603
Pm3 0.000 0.000 0.397
Pm4 0.000 0.000 0.189


(3)
This record from Alexandria via LeMat-Bulk describes Pm6Ho12Mg after structural relaxation. The functional is PBE-GGA.

Computed properties:
Distance to the lowest polymorph of the same formula ... 5 meV/atom
Uncorrected energy ... -0.1596 Ha/atom
Crystal system ... trigonal

Unit cell a=8.649 b=8.649 c=8.649 alpha=97.38 beta=97.38 gamma=97.38
Element x y z (fractional)
Ho1 0.000 0.262 0.738
Ho2 0.408 0.834 0.408
Ho3 0.738 0.262 0.000
Ho4 0.834 0.408 0.408
Ho5 0.592 0.592 0.166
Ho6 0.262 0.000 0.738
Ho7 0.738 0.000 0.262
Ho8 0.592 0.166 0.592
Ho9 0.000 0.738 0.262
Ho10 0.262 0.738 0.000
Ho11 0.408 0.408 0.834
Ho12 0.166 0.592 0.592
Pm1 0.865 0.592 0.865
Pm2 0.592 0.865 0.865
Pm3 0.135 0.135 0.408
Pm4 0.135 0.408 0.135
Pm5 0.865 0.865 0.592
Pm6 0.408 0.135 0.135
Mg1 0.000 0.000 0.000


(4)
This record from Alexandria via LeMat-Bulk describes PmHo6Mg after structural relaxation. The functional is PBE-GGA.

Computed properties:
Uncorrected energy ... -0.1504 Ha/atom
Crystal system ... trigonal

Unit cell a=8.519 b=9.328 c=6.318 alpha=42.36 beta=47.59 gamma=56.76
Element x y z (fractional)
Pm1 0.500 0.500 0.500
Ho1 0.954 0.534 0.754
Ho2 0.466 0.758 0.730
Ho3 0.242 0.045 0.179
Ho4 0.046 0.466 0.246
Ho5 0.758 0.955 0.821
Ho6 0.534 0.242 0.270
Mg1 0.000 0.000 0.000


(5)
This record from Alexandria via LeMat-Bulk describes Pm9Ho4Mg11 after structural relaxation. The functional is PBE-GGA.

Computed properties:
Uncorrected energy ... -0.1218 Ha/atom
Crystal system ... orthorhombic

Unit cell a=3.685 b=14.117 c=14.117 alpha=109.55 beta=90.00 gamma=90.00
Element x y z (fractional)
Pm1 0.500 0.209 0.034
Pm2 0.500 0.148 0.625
Pm3 0.500 0.500 0.500
Pm4 0.500 0.034 0.209
Pm5 0.500 0.625 0.148
Pm6 0.500 0.375 0.852
Pm7 0.500 0.791 0.966
Pm8 0.500 0.966 0.791
Pm9 0.500 0.852 0.375
Ho1 0.500 0.568 0.747
Ho2 0.500 0.253 0.432
Ho3 0.500 0.432 0.253
Ho4 0.500 0.747 0.568
Mg1 0.000 0.000 0.000
Mg2 0.000 0.171 0.829
Mg3 0.000 0.587 0.941
Mg4 0.000 0.239 0.239
Mg5 0.000 0.829 0.171
Mg6 0.000 0.363 0.637
Mg7 0.000 0.761 0.761
Mg8 0.000 0.637 0.363
Mg9 0.000 0.941 0.587
Mg10 0.000 0.059 0.413
Mg11 0.000 0.413 0.059


(6)
This record from Alexandria via LeMat-Bulk describes PmHo6Mg2 after structural relaxation. The functional is PBE-GGA.

Computed properties:
Uncorrected energy ... -0.1393 Ha/atom
Crystal system ... tetragonal

Unit cell a=4.836 b=4.836 c=12.051 alpha=90.00 beta=90.00 gamma=90.00
Element x y z (fractional)
Ho1 0.500 0.500 0.500
Ho2 0.500 0.000 0.711
Ho3 0.000 0.500 0.711
Ho4 0.500 0.000 0.289
Ho5 0.000 0.000 0.500
Ho6 0.000 0.500 0.289
Mg1 0.500 0.500 0.887
Mg2 0.500 0.500 0.113
Pm1 0.000 0.000 0.000


(7)
This record from Alexandria via LeMat-Bulk describes Pm4HoMg5 after structural relaxation. The functional is PBE-GGA.

Computed properties:
Uncorrected energy ... -0.1196 Ha/atom
Crystal system ... tetragonal

Unit cell a=3.841 b=3.841 c=19.292 alpha=90.00 beta=90.00 gamma=90.00
Element x y z (fractional)
Pm1 0.000 0.000 0.197
Pm2 0.000 0.000 0.399
Pm3 0.000 0.000 0.601
Pm4 0.000 0.000 0.803
Mg1 0.500 0.500 0.298
Mg2 0.500 0.500 0.702
Mg3 0.500 0.500 0.905
Mg4 0.500 0.500 0.500
Mg5 0.500 0.500 0.095
Ho1 0.000 0.000 0.000


(8)
This record from Alexandria via LeMat-Bulk describes Pm4HoMg after structural relaxation. The functional is PBE-GGA.

Computed properties:
Distance to the lowest polymorph of the same formula ... 0 meV/atom
Uncorrected energy ... -0.1549 Ha/atom
Crystal system ... tetragonal

Unit cell a=3.648 b=3.648 c=14.457 alpha=90.00 beta=90.00 gamma=90.00
Element x y z (fractional)
Pm1 0.000 0.000 0.652
Pm2 0.500 0.500 0.827
Pm3 0.000 0.000 0.348
Pm4 0.500 0.500 0.173
Mg1 0.500 0.500 0.500
Ho1 0.000 0.000 0.000


(9)
This record from Alexandria via LeMat-Bulk describes Pm3Ho4Mg after structural relaxation. The functional is PBE-GGA.

Computed properties:
Distance to the lowest polymorph of the same formula ... 85 meV/atom
Uncorrected energy ... -0.1537 Ha/atom
Crystal system ... orthorhombic

Unit cell a=3.524 b=11.589 c=8.744 alpha=131.50 beta=101.63 gamma=90.00
Element x y z (fractional)
Ho1 0.634 0.889 0.267
Ho2 0.634 0.379 0.268
Ho3 0.366 0.621 0.732
Ho4 0.366 0.111 0.733
Pm1 0.234 0.234 0.468
Pm2 0.766 0.766 0.532
Pm3 0.000 0.500 0.000
Mg1 0.500 0.000 0.000


(10)
This record from Alexandria via LeMat-Bulk describes PmHo3Mg after structural relaxation. The functional is PBE-GGA.

Computed properties:
Distance to the lowest polymorph of the same formula ... 56 meV/atom
Uncorrected energy ... -0.1461 Ha/atom
Crystal system ... monoclinic

Unit cell a=6.497 b=9.896 c=9.896 alpha=81.28 beta=79.03 gamma=79.03
Element x y z (fractional)
Ho1 0.639 0.623 0.990
Ho2 0.861 0.010 0.377
Ho3 0.854 0.279 0.129
Ho4 0.361 0.377 0.010
Ho5 0.457 0.208 0.595
Ho6 0.146 0.721 0.871
Ho7 0.139 0.990 0.623
Ho8 0.043 0.405 0.792
Ho9 0.646 0.871 0.721
Ho10 0.543 0.792 0.405
Ho11 0.354 0.129 0.279
Ho12 0.957 0.595 0.208
Mg1 0.750 0.926 0.074
Mg2 0.250 0.074 0.926
Mg3 0.250 0.833 0.167
Mg4 0.750 0.167 0.833
Pm1 0.552 0.524 0.678
Pm2 0.448 0.476 0.322
Pm3 0.052 0.678 0.524
Pm4 0.948 0.322 0.476


(11)
This record from Alexandria via LeMat-Bulk describes Pm5Ho2Mg5 after structural relaxation. The functional is PBE-GGA.

Computed properties:
Uncorrected energy ... -0.1223 Ha/atom
Crystal system ... monoclinic

Unit cell a=3.517 b=8.032 c=17.225 alpha=128.57 beta=90.00 gamma=102.65
Element x y z (fractional)
Mg1 0.401 0.802 0.270
Mg2 0.599 0.198 0.730
Mg3 0.140 0.280 0.426
Mg4 0.860 0.720 0.574
Mg5 0.000 0.000 0.000
Ho1 0.013 0.026 0.825
Ho2 0.987 0.974 0.175
Pm1 0.706 0.411 0.058
Pm2 0.261 0.523 0.696
Pm3 0.500 0.000 0.500
Pm4 0.294 0.589 0.942
Pm5 0.739 0.477 0.304


(12)
This record from Alexandria via LeMat-Bulk describes Pm4Ho5Mg2 after structural relaxation. The functional is PBE-GGA.

Computed properties:
Distance to the lowest polymorph of the same formula ... 0 meV/atom
Uncorrected energy ... -0.1493 Ha/atom
Crystal system ... triclinic

Unit cell a=3.496 b=11.594 c=13.756 alpha=141.13 beta=97.36 gamma=89.92
Element x y z (fractional)
Mg1 0.598 0.647 0.186
Mg2 0.402 0.353 0.814
Ho1 0.262 0.881 0.526
Ho2 0.822 0.723 0.643
Ho3 0.500 0.000 0.000
Ho4 0.738 0.119 0.474
Ho5 0.178 0.277 0.357
Pm1 0.957 0.206 0.918
Pm2 0.043 0.794 0.082
Pm3 0.632 0.455 0.270
Pm4 0.368 0.545 0.730


- Among the records above, which one has the lowest uncorrected energy?
  Pm4Ho5Mg


- Among the records above, which one has the lowest uncorrected energy?
  Pm4Ho5Mg


- Look up the uncorrected energy of the first one.
  -0.1582 Ha/atom